Entry 1:
# RbLaNd4S8 (PBE, optimized geometry)
data_RbLaNd4S8
_cell_length_a 8.528
_cell_length_b 8.528
_cell_length_c 8.608
_cell_angle_alpha 60.31
_cell_angle_beta 60.31
_cell_angle_gamma 60.00
_symmetry_space_group_name_H-M 'P 1'
_symmetry_Int_Tables_number 1
loop_
_symmetry_equiv_pos_as_xyz
'x,y,z'
loop_
_atom_site_label
_atom_site_type_symbol
_atom_site_fract_x
_atom_site_fract_y
_atom_site_fract_z
_atom_site_occupancy
S1 S 0.233 0.233 0.728 1
S2 S 0.755 0.230 0.260 1
S3 S 0.757 0.757 0.729 1
S4 S 0.232 0.232 0.305 1
S5 S 0.805 0.233 0.728 1
S6 S 0.233 0.805 0.728 1
S7 S 0.230 0.755 0.260 1
S8 S 0.755 0.755 0.260 1
Nd1 Nd 0.488 0.004 0.504 1
Nd2 Nd 0.004 0.488 0.504 1
Nd3 Nd 0.004 0.004 0.504 1
Nd4 Nd 0.625 0.625 0.124 1
Rb1 Rb 0.374 0.374 0.879 1
La1 La 0.004 0.004 0.989 1
# size of the total moment	0.000	μB per formula unit
# ρ	3.950	g/cm³
# DFT total energy	-6.05	eV/atom
# DOS(E_F)	0.0000	states/eV/atom



Entry 2:
# Dy4Ho19Sc6 (PBE, optimized geometry)
data_Dy4Ho19Sc6
_cell_length_a 10.575
_cell_length_b 10.576
_cell_length_c 10.577
_cell_angle_alpha 109.48
_cell_angle_beta 109.47
_cell_angle_gamma 109.47
_symmetry_space_group_name_H-M 'P 1'
_symmetry_Int_Tables_number 1
loop_
_symmetry_equiv_pos_as_xyz
'x,y,z'
loop_
_atom_site_label
_atom_site_type_symbol
_atom_site_fract_x
_atom_site_fract_y
_atom_site_fract_z
_atom_site_occupancy
Ho1 Ho 0.215 0.222 0.554 1
Ho2 Ho 0.340 0.008 0.785 1
Ho3 Ho 0.778 0.992 0.332 1
Ho4 Ho 0.266 0.000 0.266 1
Ho5 Ho 0.992 0.332 0.778 1
Ho6 Ho 0.266 0.266 0.000 1
Ho7 Ho 0.000 0.000 0.000 1
Ho8 Ho 0.660 0.446 0.668 1
Ho9 Ho 0.785 0.340 0.008 1
Ho10 Ho 0.734 0.000 0.734 1
Ho11 Ho 0.000 0.266 0.266 1
Ho12 Ho 0.734 0.734 0.000 1
Ho13 Ho 0.332 0.778 0.992 1
Ho14 Ho 0.668 0.660 0.446 1
Ho15 Ho 0.554 0.215 0.222 1
Ho16 Ho 0.000 0.734 0.734 1
Ho17 Ho 0.222 0.554 0.215 1
Ho18 Ho 0.446 0.668 0.660 1
Ho19 Ho 0.008 0.785 0.340 1
Sc1 Sc 0.118 0.618 0.500 1
Sc2 Sc 0.618 0.500 0.118 1
Sc3 Sc 0.882 0.382 0.500 1
Sc4 Sc 0.500 0.882 0.382 1
Sc5 Sc 0.382 0.500 0.882 1
Sc6 Sc 0.500 0.118 0.618 1
Dy1 Dy 0.000 0.000 0.642 1
Dy2 Dy 0.642 0.000 0.000 1
Dy3 Dy 0.358 0.358 0.358 1
Dy4 Dy 0.000 0.642 0.000 1
# size of the total moment	2.678	μB per formula unit
# ρ	7.392	g/cm³
# DFT total energy	-4.55	eV/atom
# DOS(E_F)	1.3853	states/eV/atom
# calculated formation energy	0.3965	eV/atom



Entry 3:
# KAlSi2 (PBE, optimized geometry)
data_KAlSi2
_cell_length_a 3.362
_cell_length_b 3.362
_cell_length_c 7.678
_cell_angle_alpha 90.00
_cell_angle_beta 90.00
_cell_angle_gamma 90.00
_symmetry_space_group_name_H-M 'P 1'
_symmetry_Int_Tables_number 1
loop_
_symmetry_equiv_pos_as_xyz
'x,y,z'
loop_
_atom_site_label
_atom_site_type_symbol
_atom_site_fract_x
_atom_site_fract_y
_atom_site_fract_z
_atom_site_occupancy
Al1 Al 0.000 0.000 0.421 1
Si1 Si 0.500 0.500 0.227 1
Si2 Si 0.000 0.000 0.088 1
K1 K 0.500 0.500 0.765 1
# size of the total moment	0.000	μB per formula unit
# ρ	2.339	g/cm³
# DFT total energy	-3.70	eV/atom
# DOS(E_F)	0.5779	states/eV/atom



Entry 4:
# LaTaFe2Au (PBE, optimized geometry)
data_LaTaFe2Au
_cell_length_a 4.738
_cell_length_b 5.337
_cell_length_c 4.738
_cell_angle_alpha 90.00
_cell_angle_beta 90.00
_cell_angle_gamma 90.00
_symmetry_space_group_name_H-M 'P 1'
_symmetry_Int_Tables_number 1
loop_
_symmetry_equiv_pos_as_xyz
'x,y,z'
loop_
_atom_site_label
_atom_site_type_symbol
_atom_site_fract_x
_atom_site_fract_y
_atom_site_fract_z
_atom_site_occupancy
Ta1 Ta 0.500 0.500 0.500 1
Au1 Au 0.000 0.000 0.000 1
La1 La 0.000 0.500 0.000 1
Fe1 Fe 0.500 0.000 0.000 1
Fe2 Fe 0.000 0.000 0.500 1
# size of the total moment	1.898	μB per formula unit
# ρ	8.712	g/cm³
# DFT total energy	-5.63	eV/atom
# DOS(E_F)	1.6710	states/eV/atom
# calculated formation energy	1.7648	eV/atom